Record 1
A plane-wave DFT calculation with GGA-PBE was carried out for a relaxed structure of CaPb2Cl8.

Structure (POSCAR):
```
CaPb2Cl8
1.0
7.6573 0.0000 0.0000
0.0000 8.0508 0.0000
0.0000 -4.0254 6.9722
Ca Pb Cl
1 2 8
Direct
0.5000 0.0000 0.0000
0.8010 0.6667 0.3333
0.1990 0.3333 0.6667
0.8729 0.3333 0.6667
0.1271 0.6667 0.3333
0.2609 0.1470 0.2940
0.7391 0.8530 0.7060
0.7391 0.2940 0.1470
0.2609 0.7060 0.8530
0.2609 0.1470 0.8530
0.7391 0.8530 0.1470
```

Calculated values
Formation energy (no corrections) in eV per atom: -1.097


Record 2
A plane-wave DFT calculation with GGA-PBE was carried out for a relaxed structure of SbAs2Au.

Structure (POSCAR):
```
SbAs2Au
1.0
4.8103 0.0251 0.0000
-1.0818 4.6871 0.0000
-1.8642 -2.3561 3.7567
Sb As Au
1 2 1
Direct
0.7500 0.2500 0.5000
0.0000 0.0000 0.0000
0.2500 0.7500 0.5000
0.5000 0.5000 0.0000
```

Calculated values
Formation energy (no corrections) in eV per atom: 0.335


Record 3
A plane-wave DFT calculation with GGA-PBE was carried out for a relaxed structure of PrDy2TmBi4.

Structure (POSCAR):
```
PrDy2TmBi4
1.0
-4.4985 0.3499 0.0218
-0.1020 -1.7851 7.6034
0.5295 6.5459 4.2192
Pr Dy Tm Bi
1 2 1 4
Direct
0.5000 0.5000 0.0000
0.0000 0.0000 0.0000
0.5000 0.0000 0.5000
0.0000 0.5000 0.5000
0.0000 0.7561 0.7417
0.0000 0.2439 0.2583
0.5000 0.7515 0.2558
0.5000 0.2485 0.7442
```

Calculated values
Energy of formation from the pure elements in meV/atom: -856


Record 4
A plane-wave DFT calculation with GGA-PBE was carried out for a relaxed structure of LiGaSi.

Structure (POSCAR):
```
LiGaSi
1.0
3.5837 -2.0690 0.0000
0.0000 4.1381 0.0000
0.0000 0.0000 6.6669
Si Ga Li
2 2 2
Direct
0.0000 0.0000 0.3131
0.0000 0.0000 0.6869
0.3333 0.6667 0.1979
0.3333 0.6667 0.8021
0.6667 0.3333 0.0000
0.6667 0.3333 0.5000
```

Calculated values
Formation energy (no corrections) in eV per atom: -0.203


Record 5
A plane-wave DFT calculation with GGA-PBE was carried out for a relaxed structure of ThAl6Pd3.

Structure (POSCAR):
```
ThAl6Pd3
1.0
-1.2589 3.3909 -2.4004
0.4338 -4.9580 -7.2315
-9.0221 -2.9270 0.5968
Th Al Pd
2 12 6
Direct
0.7500 0.0526 0.6973
0.2500 0.9474 0.3027
0.7500 0.4252 0.5697
0.2500 0.5748 0.4303
0.7500 0.8900 0.0364
0.2500 0.1100 0.9636
0.7500 0.4706 0.0915
0.2500 0.5294 0.9085
0.7500 0.6930 0.2661
0.2500 0.3070 0.7339
0.7500 0.1976 0.3689
0.2500 0.8024 0.6311
0.7500 0.6888 0.7969
0.2500 0.3112 0.2031
0.7500 0.3900 0.8444
0.2500 0.6100 0.1556
0.7500 0.7215 0.5222
0.2500 0.2785 0.4778
0.7500 0.1750 0.0997
0.2500 0.8250 0.9003
```

Calculated values
Energy of formation from the pure elements in meV/atom: -674


Record 6
A plane-wave DFT calculation with GGA-PBE was carried out for a relaxed structure of HfSn2H2.

Structure (POSCAR):
```
HfSn2H2
1.0
7.7553 0.0000 0.0000
0.0000 7.7553 0.0000
0.0000 0.0000 3.1068
H Hf Sn
4 2 4
Direct
0.2265 0.7265 0.5000
0.7265 0.7735 0.5000
0.7735 0.2735 0.5000
0.2735 0.2265 0.5000
0.0000 0.0000 0.0000
0.5000 0.5000 0.0000
0.3534 0.8534 0.0000
0.8534 0.6466 0.0000
0.6466 0.1466 0.0000
0.1466 0.3534 0.0000
```

Calculated values
Distance to the lowest polymorph of the same formula in eV/atom: 0.436


Record 7
A plane-wave DFT calculation with GGA-PBE was carried out for a relaxed structure of InMo.

Structure (POSCAR):
```
InMo
1.0
-6.7215 4.7849 1.1244
3.9122 -3.2941 6.5713
2.7102 3.7451 0.2638
In Mo
6 6
Direct
0.7996 0.5993 0.2500
0.2004 0.7996 0.7500
0.4007 0.2004 0.2500
0.2004 0.4007 0.7500
0.7996 0.2004 0.2500
0.5993 0.7996 0.7500
0.4394 0.8789 0.2500
0.5606 0.4394 0.7500
0.1211 0.5606 0.2500
0.5606 0.1211 0.7500
0.4394 0.5606 0.2500
0.8789 0.4394 0.7500
```

Calculated values
Energy of formation from the pure elements in meV/atom: 369
Distance to the lowest polymorph of the same formula in eV/atom: 0.155


Record 8
A plane-wave DFT calculation with GGA-PBE was carried out for a relaxed structure of HoVB4.

Structure (POSCAR):
```
HoVB4
1.0
-1.4676 1.7843 -2.5424
-4.8611 -3.4842 0.3608
-4.6285 7.2621 7.7685
Ho V B
4 4 16
Direct
0.5000 0.1240 0.6515
0.5000 0.8760 0.3485
0.5000 0.6240 0.8485
0.5000 0.3760 0.1515
0.5000 0.1274 0.9171
0.5000 0.8726 0.0829
0.5000 0.6274 0.5829
0.5000 0.3726 0.4171
0.0000 0.4772 0.6925
0.0000 0.5228 0.3075
0.0000 0.9772 0.8075
0.0000 0.0228 0.1925
0.0000 0.2865 0.8142
0.0000 0.7135 0.1858
0.0000 0.7865 0.6858
0.0000 0.2135 0.3142
0.0000 0.3648 0.9675
0.0000 0.6352 0.0325
0.0000 0.8648 0.5325
0.0000 0.1352 0.4675
0.0000 0.3851 0.5476
0.0000 0.6149 0.4524
0.0000 0.8851 0.9524
0.0000 0.1149 0.0476
```

Calculated values
Energy of formation from the pure elements in meV/atom: -722


Record 9
A plane-wave DFT calculation with GGA-PBE was carried out for a relaxed structure of Tb4PmPrS8.

Structure (POSCAR):
```
Tb4PmPrS8
1.0
-2.2702 -2.2062 7.5134
5.5512 -0.5179 5.9489
0.0179 5.5247 6.0513
Tb Pm Pr S
4 1 1 8
Direct
0.6256 0.6256 0.1231
0.9994 0.5024 0.4989
0.5024 0.9994 0.4989
0.9994 0.9994 0.4989
0.9993 0.9993 0.0022
0.3741 0.3741 0.8777
0.2431 0.7814 0.7324
0.7814 0.2431 0.7324
0.2431 0.2431 0.7324
0.2380 0.2380 0.2861
0.7526 0.2314 0.2633
0.2314 0.7526 0.2633
0.7526 0.7526 0.2633
0.7576 0.7576 0.7271
```

Calculated values
Formation energy (no corrections) in eV per atom: -1.926


Record 10
A plane-wave DFT calculation with GGA-PBE was carried out for a relaxed structure of Eu2DyH.

Structure (POSCAR):
```
Eu2DyH
1.0
3.6900 0.0000 0.0000
1.8450 3.1956 0.0000
1.8450 1.0652 9.1757
Eu H Dy
2 1 1
Direct
0.7213 0.7213 0.8360
0.2787 0.2787 0.1640
0.0000 0.0000 0.0000
0.5000 0.5000 0.5000
```

Calculated values
Distance to the lowest polymorph of the same formula in eV/atom: 0.000


Record 11
A plane-wave DFT calculation with GGA-PBE was carried out for a relaxed structure of Hf2SbAsPd.

Structure (POSCAR):
```
Hf2SbAsPd
1.0
5.0263 0.0000 0.0000
0.0000 4.5881 0.0000
0.0000 0.0000 5.0263
Sb As Hf Pd
1 1 2 1
Direct
0.5000 0.5000 0.5000
0.0000 0.0000 0.0000
0.0000 0.0000 0.5000
0.5000 0.0000 0.0000
0.0000 0.5000 0.0000
```

Calculated values
Formation energy (no corrections) in eV per atom: -0.032


Record 12
A plane-wave DFT calculation with GGA-PBE was carried out for a relaxed structure of AcYCu2.

Structure (POSCAR):
```
AcYCu2
1.0
3.6322 0.0000 0.0000
0.0000 3.6322 0.0000
0.0000 0.0000 7.2811
Y Ac Cu
1 1 2
Direct
0.5000 0.5000 0.0000
0.5000 0.5000 0.5000
0.0000 0.0000 0.7895
0.0000 0.0000 0.2105
```

Calculated values
Energy of formation from the pure elements in meV/atom: -151
Distance to the lowest polymorph of the same formula in eV/atom: 0.008


| no. | calculated volume (A^3/atom) | total magnetization (μB per atom) |
| --- | --- | --- |
| 1 | 39.07 | 0.000 |
| 2 | 21.20 | 0.000 |
| 3 | 32.42 | 0.000 |
| 4 | 16.48 | 0.000 |
| 5 | 18.06 | 0.000 |
| 6 | 18.69 | 0.000 |
| 7 | 23.17 | 0.000 |
| 8 | 9.95 | 0.000 |
| 9 | 27.58 | 0.000 |
| 10 | 27.05 | 3.764 |
| 11 | 23.18 | 0.000 |
| 12 | 24.02 | 0.000 |